Computed, not measured: PmLuCuAu after structural relaxation at the PBE level of DFT.

Summary:
**Energy of formation from the pure elements**: -0.513 eV per atom
**Space group**: F-43m (216)

CIF file:
```
data_PmLuCuAu
_chemical_formula_sum 'Pm1 Lu1 Cu1 Au1'
_cell_length_a 5.036
_cell_length_b 5.036
_cell_length_c 5.036
_cell_angle_alpha 60.00
_cell_angle_beta 60.00
_cell_angle_gamma 60.00
_space_group_name_H-M_alt 'P 1'
_space_group_IT_number 1
_space_group_name_Hall 'P 1'
loop_
_atom_site_label
_atom_site_type_symbol
_atom_site_fract_x
_atom_site_fract_y
_atom_site_fract_z
Lu1 Lu 0.500 0.500 0.500
Au1 Au 0.750 0.750 0.750
Cu1 Cu 0.250 0.250 0.250
Pm1 Pm 0.000 0.000 0.000
```